[1]
First-principles (PBE-GGA) data for crystalline Y2AlSi at its relaxed geometry, as listed in the Alexandria database.

As for the calculated volume: 180 Å³ per cell. As for the formation energy (no corrections): -422.7 meV/atom. The calculation puts the magnetic moment at 0.0 μB/f.u. The value obtained for the density of states at the Fermi level is 2.768 states/eV/f.u.

The structure belongs to space group Cmmm (No. 65); the cell edges are 6.664, 8.172 and 3.298 Å and the angles 90.00°, 90.00° and 90.00°. Symmetry generates all atoms from Y at (0.250, 0.250, 0.000), Al at (0.000, 0.000, 0.500) and Si at (0.000, 0.500, 0.500).

=====

[2]
First-principles (PBE-GGA) data for crystalline SrLiMgAu at its relaxed geometry, as listed in the Alexandria database.

As for the calculated volume: 392 Å³ per cell. The calculation puts the magnetic moment at 0.0 μB/f.u. The calculation puts the formation energy at -0.339 eV/atom. The value obtained for the density of states at the Fermi level is 2.585 states/eV/f.u.

The structure belongs to space group F-43m (No. 216); the cell edges are 7.317, 7.317 and 7.317 Å and the angles 90.00°, 90.00° and 90.00°. Symmetry generates all atoms from Sr at (0.000, 0.000, 0.000), Li at (0.250, 0.250, 0.750), Mg at (0.000, 0.000, 0.500) and Au at (0.250, 0.250, 0.250).

=====

[3]
First-principles (PBE-GGA) data for crystalline LiNd2Zr at its relaxed geometry, as listed in the Alexandria database.

As for the calculated volume: 112 Å³ per cell. The calculation puts the magnetic moment at 0.0 μB/f.u. The calculation puts the formation energy at 0.179 eV/atom. The value obtained for the density of states at the Fermi level is 4.864 states/eV/f.u.

The structure belongs to space group P4/mmm (No. 123); the cell edges are 5.652, 5.652 and 3.502 Å and the angles 90.00°, 90.00° and 90.00°. Symmetry generates all atoms from Li at (0.000, 0.000, 0.000), Nd at (0.000, 0.500, 0.500) and Zr at (0.500, 0.500, 0.000).

=====

[4]
First-principles (PBE-GGA) data for crystalline KAcP2Pd4 at its relaxed geometry, as listed in the Alexandria database.

As for the calculated volume: 190 Å³ per cell. The calculation puts the magnetic moment at 0.0 μB/f.u. The calculation puts the formation energy at -0.581 eV/atom. The value obtained for the density of states at the Fermi level is 4.366 states/eV/f.u.

The structure belongs to space group P4/mmm (No. 123); the cell edges are 4.230, 4.230 and 10.637 Å and the angles 90.00°, 90.00° and 90.00°. Symmetry generates all atoms from K at (0.000, 0.000, 0.000), Ac at (0.000, 0.000, 0.500), P at (0.500, 0.500, 0.190) and Pd at (0.000, 0.500, 0.285).

=====

[5]
First-principles (PBE-GGA) data for crystalline Ba2MgAgPb6 at its relaxed geometry, as listed in the Alexandria database.

As for the calculated volume: 2047 Å³ per cell. The calculation puts the magnetic moment at 0.0 μB/f.u. The calculation puts the formation energy at -0.180 eV/atom. The value obtained for the density of states at the Fermi level is 7.079 states/eV/f.u.

The structure belongs to space group R-3m (No. 166, hexagonal axes); the cell edges are 7.6239, 7.6239 and 40.6611 Å and the angles 90.00°, 90.00° and 120.00°. Symmetry generates all atoms from Ba at (0.0000, 0.0000, 0.1151), Ba at (0.0000, 0.0000, 0.2907), Mg at (0.0000, 0.0000, 0.4290), Ag at (0.0000, 0.0000, 0.0000), Ag at (0.0000, 0.0000, 0.5000), Pb at (0.0397, 0.5199, 0.2932) and Pb at (0.0581, 0.5290, 0.8690).

=====

[6]
First-principles (PBE-GGA) data for crystalline AgGeHRh2 at its relaxed geometry, as listed in the Alexandria database.

As for the calculated volume: 63 Å³ per cell. The calculation puts the magnetic moment at 0.0 μB/f.u. The value obtained for the density of states at the Fermi level is 0.664 states/eV/f.u. Its total DFT energy (no corrections) is -5.1424 eV per atom.

The structure belongs to space group P4/mmm (No. 123); the cell edges are 4.055, 4.055 and 3.851 Å and the angles 90.00°, 90.00° and 90.00°. Symmetry generates all atoms from Ag at (0.000, 0.000, 0.000), Ge at (0.500, 0.500, 0.000), H at (0.000, 0.000, 0.500) and Rh at (0.000, 0.500, 0.500).

=====

[7]
First-principles (PBE-GGA) data for crystalline Na2LiZnCl5 at its relaxed geometry, as listed in the Alexandria database.

As for the calculated volume: 891 Å³ per cell. As for the formation energy (no corrections): -1553.1 meV/atom. The calculation puts the magnetic moment at 0.0 μB/f.u. The value obtained for the density of states at the Fermi level is 0.000 states/eV/f.u.

The structure belongs to space group Cmc2_1 (No. 36); the cell edges are 3.786, 19.979 and 11.776 Å and the angles 90.00°, 90.00° and 90.00°. Symmetry generates all atoms from Na at (0.000, 0.134, 0.000), Na at (0.000, 0.169, 0.345), Li at (0.000, 0.205, 0.710), Zn at (0.000, 0.446, 0.100), Cl at (0.000, 0.049, 0.714), Cl at (0.000, 0.306, 0.340), Cl at (0.000, 0.324, 0.674), Cl at (0.000, 0.339, 0.026) and Cl at (0.000, 0.474, 0.470).

=====

[8]
First-principles (PBE-GGA) data for crystalline Pu2Sn4Pd5 at its relaxed geometry, as listed in the Alexandria database.

As for the calculated volume: 984 Å³ per cell. The calculation puts the magnetic moment at 11.6 μB/f.u. The calculation puts the formation energy at -0.415 eV/atom. The value obtained for the density of states at the Fermi level is 34.258 states/eV/f.u.

The structure belongs to space group Fmmm (No. 69); the cell edges are 5.752, 10.171 and 16.827 Å and the angles 90.00°, 90.00° and 90.00°. Symmetry generates all atoms from Pu at (0.000, 0.000, 0.158), Sn at (0.000, 0.157, 0.373), Pd at (0.000, 0.000, 0.500), Pd at (0.250, 0.250, 0.000) and Pd at (0.250, 0.250, 0.250).

=====

[9]
First-principles (PBE-GGA) data for crystalline ScAlAuN2 at its relaxed geometry, as listed in the Alexandria database.

As for the calculated volume: 84 Å³ per cell. As for the formation energy (no corrections): 655.7 meV/atom. The calculation puts the magnetic moment at 0.0 μB/f.u. The value obtained for the density of states at the Fermi level is 3.850 states/eV/f.u.

The structure belongs to space group P4/mmm (No. 123); the cell edges are 3.763, 3.763 and 5.921 Å and the angles 90.00°, 90.00° and 90.00°. Symmetry generates all atoms from Sc at (0.000, 0.000, 0.000), Al at (0.000, 0.000, 0.500), Au at (0.500, 0.500, 0.000) and N at (0.000, 0.500, 0.500).

=====

[10]
First-principles (PBE-GGA) data for crystalline PrPN3 at its relaxed geometry, as listed in the Alexandria database.

As for the calculated volume: 133 Å³ per cell. As for the formation energy (no corrections): -235.3 meV/atom. The calculation puts the magnetic moment at 0.9 μB/f.u. The value obtained for the density of states at the Fermi level is 2.948 states/eV/f.u.

The structure belongs to space group P6_3/m (No. 176); the cell edges are 5.5439, 5.5439 and 5.0147 Å and the angles 90.00°, 90.00° and 120.00°. Symmetry generates all atoms from Pr at (0.3333, 0.6667, 0.2500), P at (0.0000, 0.0000, 0.2500) and N at (0.1288, 0.7997, 0.7500).

=====

[11]
First-principles (PBE-GGA) data for crystalline RePbNO2 at its relaxed geometry, as listed in the Alexandria database.

As for the calculated volume: 64 Å³ per cell. As for the formation energy (no corrections): -681.9 meV/atom. The calculation puts the magnetic moment at 0.0 μB/f.u. The value obtained for the density of states at the Fermi level is 3.232 states/eV/f.u.

The structure belongs to space group P4/mmm (No. 123); the cell edges are 4.017, 4.017 and 3.971 Å and the angles 90.00°, 90.00° and 90.00°. Symmetry generates all atoms from Re at (0.000, 0.000, 0.000), Pb at (0.500, 0.500, 0.500), N at (0.000, 0.000, 0.500) and O at (0.000, 0.500, 0.000).

=====

[12]
First-principles (PBE-GGA) data for crystalline In2F3 at its relaxed geometry, as listed in the Alexandria database.

As for the calculated volume: 581 Å³ per cell. As for the formation energy (no corrections): -1896.1 meV/atom. The calculation puts the magnetic moment at 0.0 μB/f.u. The value obtained for the density of states at the Fermi level is 1.398 states/eV/f.u.

The structure belongs to space group R-3c (No. 167, hexagonal axes); the cell edges are 6.4627, 6.4627 and 16.0546 Å and the angles 90.00°, 90.00° and 120.00°. Symmetry generates all atoms from In at (0.0000, 0.0000, 0.1549) and F at (0.0000, 0.4572, 0.2500).

=====

- The highest magnetic moment belongs to which entry?
  Pu2Sn4Pd5